[1]
The following is a PBE calculation of a relaxed structure of TiTlAgBr6, from Alexandria.

Cell lengths 7.204, 7.204, 6.912 Å; angles 90.22, 90.22, 120.33 degrees
Element x y z (fractional)
Ti 0.000 0.000 0.000
Tl 0.667 0.333 0.500
Ag 0.332 0.668 0.000
Br 0.021 0.726 0.213
Br 0.023 0.299 0.787
Br 0.274 0.299 0.216
Br 0.274 0.979 0.787
Br 0.701 0.726 0.784
Br 0.701 0.977 0.213

Properties
The total energy comes out at -3.458 eV per atom.



[2]
The following is a PBE calculation of a relaxed structure of YBAsF2, from Alexandria.

Cell lengths 4.322, 4.322, 4.109 Å; angles 90.00, 90.00, 90.00 degrees
Element x y z (fractional)
Y 0.000 0.000 0.000
B 0.500 0.500 0.000
As 0.500 0.500 0.500
F 0.000 0.500 0.500
F 0.500 0.000 0.500

Properties
The total energy comes out at -5.062 eV per atom.



[3]
The following is a PBE calculation of a relaxed structure of Sm6Si2TeI3, from Alexandria.

Cell lengths 10.060, 10.060, 9.097 Å; angles 105.55, 105.55, 24.90 degrees
Element x y z (fractional)
Sm 0.022 0.022 0.246
Sm 0.321 0.321 0.444
Sm 0.334 0.334 0.865
Sm 0.666 0.666 0.135
Sm 0.679 0.679 0.556
Sm 0.978 0.978 0.754
Si 0.170 0.170 0.340
Si 0.830 0.830 0.660
Te 0.500 0.500 0.000
I 0.164 0.164 0.836
I 0.500 0.500 0.500
I 0.836 0.836 0.164

Properties
The total energy comes out at -4.916 eV per atom.



[4]
The following is a PBE calculation of a relaxed structure of BaGa2Pt2, from Alexandria.

Cell lengths 8.177, 8.177, 2.937 Å; angles 90.00, 90.00, 90.00 degrees
Element x y z (fractional)
Ba 0.000 0.000 0.000
Ba 0.500 0.500 0.000
Ga 0.120 0.380 0.000
Ga 0.380 0.880 0.000
Ga 0.620 0.120 0.000
Ga 0.880 0.620 0.000
Pt 0.170 0.670 0.500
Pt 0.330 0.170 0.500
Pt 0.670 0.830 0.500
Pt 0.830 0.330 0.500

Properties
The total energy comes out at -4.433 eV per atom.



[5]
The following is a PBE calculation of a relaxed structure of Ca2Os2O7, from Alexandria.

Cell lengths 7.308, 7.308, 7.308 Å; angles 60.00, 60.00, 60.00 degrees
Element x y z (fractional)
Ca 0.000 0.000 0.000
Ca 0.000 0.000 0.500
Ca 0.000 0.500 0.000
Ca 0.500 0.000 0.000
Os 0.000 0.500 0.500
Os 0.500 0.000 0.500
Os 0.500 0.500 0.000
Os 0.500 0.500 0.500
O 0.125 0.125 0.125
O 0.183 0.183 0.567
O 0.183 0.567 0.183
O 0.183 0.567 0.567
O 0.433 0.433 0.817
O 0.433 0.817 0.433
O 0.433 0.817 0.817
O 0.567 0.183 0.183
O 0.567 0.183 0.567
O 0.567 0.567 0.183
O 0.817 0.433 0.433
O 0.817 0.433 0.817
O 0.817 0.817 0.433
O 0.875 0.875 0.875

Properties
For the energy above the most stable polymorph in this dataset, the calculation gives 0.10 eV/f.u.



[6]
The following is a PBE calculation of a relaxed structure of ZnIrOs2, from Alexandria.

Cell lengths 2.877, 4.445, 8.921 Å; angles 90.00, 90.00, 90.00 degrees
Element x y z (fractional)
Zn 0.000 0.000 0.000
Zn 0.500 0.500 0.500
Ir 0.000 0.000 0.500
Ir 0.500 0.500 0.000
Os 0.000 0.500 0.268
Os 0.000 0.500 0.732
Os 0.500 0.000 0.232
Os 0.500 0.000 0.768

Properties
The total energy comes out at -7.808 eV per atom.



[7]
The following is a PBE calculation of a relaxed structure of Ac3TbSm8, from Alexandria.

Cell lengths 6.850, 8.791, 8.802 Å; angles 103.28, 109.43, 109.37 degrees
Element x y z (fractional)
Ac 0.000 0.000 0.000
Ac 0.000 0.266 0.733
Ac 0.498 0.140 0.857
Tb 0.505 0.489 0.192
Sm 0.000 0.340 0.333
Sm 0.491 0.224 0.439
Sm 0.492 0.805 0.509
Sm 0.497 0.877 0.120
Sm 0.508 0.560 0.778
Sm 0.995 0.665 0.658
Sm 0.997 0.592 0.075
Sm 0.997 0.921 0.402

Properties
The total energy comes out at -4.488 eV per atom.



[8]
The following is a PBE calculation of a relaxed structure of CdPd2Br8, from Alexandria.

Cell lengths 6.998, 6.998, 9.280 Å; angles 101.20, 101.20, 102.68 degrees
Element x y z (fractional)
Cd 0.000 0.000 0.000
Pd 0.319 0.319 0.333
Pd 0.681 0.681 0.667
Br 0.030 0.030 0.305
Br 0.108 0.425 0.115
Br 0.387 0.387 0.619
Br 0.425 0.108 0.115
Br 0.575 0.892 0.885
Br 0.613 0.613 0.381
Br 0.892 0.575 0.885
Br 0.970 0.970 0.695

Properties
The total energy comes out at -2.581 eV per atom.



[9]
The following is a PBE calculation of a relaxed structure of BaLi2AlCu, from Alexandria.

Cell lengths 5.078, 5.078, 4.725 Å; angles 90.00, 90.00, 90.00 degrees
Element x y z (fractional)
Ba 0.000 0.000 0.000
Li 0.000 0.500 0.500
Li 0.500 0.000 0.500
Al 0.500 0.500 0.000
Cu 0.500 0.500 0.500

Properties
For the energy above the most stable polymorph in this dataset, the calculation gives 0.00 eV/f.u.



[10]
The following is a PBE calculation of a relaxed structure of Y8Zn2Cu, from Alexandria.

Cell lengths 9.253, 9.253, 6.804 Å; angles 105.28, 105.28, 32.09 degrees
Element x y z (fractional)
Y 0.028 0.028 0.282
Y 0.201 0.201 0.820
Y 0.337 0.337 0.528
Y 0.409 0.409 0.050
Y 0.591 0.591 0.950
Y 0.663 0.663 0.472
Y 0.799 0.799 0.180
Y 0.972 0.972 0.718
Zn 0.186 0.186 0.228
Zn 0.814 0.814 0.772
Cu 0.500 0.500 0.500

Properties
The total energy comes out at -5.440 eV per atom.



[11]
The following is a PBE calculation of a relaxed structure of CuIrPt2, from Alexandria.

Cell lengths 6.198, 6.198, 6.198 Å; angles 90.00, 90.00, 90.00 degrees
Element x y z (fractional)
Cu 0.000 0.000 0.000
Cu 0.000 0.500 0.500
Cu 0.500 0.000 0.500
Cu 0.500 0.500 0.000
Ir 0.000 0.000 0.500
Ir 0.000 0.500 0.000
Ir 0.500 0.000 0.000
Ir 0.500 0.500 0.500
Pt 0.250 0.250 0.250
Pt 0.250 0.250 0.750
Pt 0.250 0.750 0.250
Pt 0.250 0.750 0.750
Pt 0.750 0.250 0.250
Pt 0.750 0.250 0.750
Pt 0.750 0.750 0.250
Pt 0.750 0.750 0.750

Properties
For the energy above the most stable polymorph in this dataset, the calculation gives 0.99 eV/f.u.



[12]
The following is a PBE calculation of a relaxed structure of DyAl3Ir3, from Alexandria.

Cell lengths 6.688, 6.688, 6.688 Å; angles 90.00, 90.00, 90.00 degrees
Element x y z (fractional)
Dy 0.000 0.000 0.000
Dy 0.500 0.500 0.500
Al 0.000 0.250 0.500
Al 0.000 0.750 0.500
Al 0.250 0.500 0.000
Al 0.500 0.000 0.250
Al 0.500 0.000 0.750
Al 0.750 0.500 0.000
Ir 0.000 0.500 0.250
Ir 0.000 0.500 0.750
Ir 0.250 0.000 0.500
Ir 0.500 0.250 0.000
Ir 0.500 0.750 0.000
Ir 0.750 0.000 0.500

Properties
The total energy comes out at -6.168 eV per atom.



[13]
The following is a PBE calculation of a relaxed structure of Ca2AsAu, from Alexandria.

Cell lengths 4.321, 4.321, 21.249 Å; angles 90.00, 90.00, 120.00 degrees
Element x y z (fractional)
Ca 0.000 0.000 0.000
Ca 0.000 0.000 0.193
Ca 0.333 0.667 0.667
Ca 0.333 0.667 0.860
Ca 0.667 0.333 0.333
Ca 0.667 0.333 0.526
As 0.000 0.000 0.597
As 0.333 0.667 0.264
As 0.667 0.333 0.931
Au 0.000 0.000 0.763
Au 0.333 0.667 0.429
Au 0.667 0.333 0.096

Properties
The total energy comes out at -3.873 eV per atom.



[14]
The following is a PBE calculation of a relaxed structure of ZnNi2Sb, from Alexandria.

Cell lengths 3.176, 3.985, 5.003 Å; angles 90.00, 108.40, 90.00 degrees
Element x y z (fractional)
Zn 0.000 0.000 0.000
Ni 0.556 0.500 0.112
Ni 0.714 0.000 0.429
Sb 0.288 0.500 0.575

Properties
The total energy comes out at -4.314 eV per atom.



[15]
The following is a PBE calculation of a relaxed structure of OsPb2Br, from Alexandria.

Cell lengths 3.423, 3.423, 8.133 Å; angles 90.00, 90.00, 90.00 degrees
Element x y z (fractional)
Os 0.000 0.000 0.000
Pb 0.500 0.500 0.210
Pb 0.500 0.500 0.790
Br 0.000 0.000 0.500

Properties
For the energy above the most stable polymorph in this dataset, the calculation gives 0.00 eV/f.u.



[16]
The following is a PBE calculation of a relaxed structure of ZnHgIr2, from Alexandria.

Cell lengths 2.806, 3.743, 6.204 Å; angles 90.00, 90.08, 90.00 degrees
Element x y z (fractional)
Zn 0.000 0.000 0.000
Hg 0.498 0.500 0.286
Ir 0.000 0.000 0.569
Ir 0.499 0.500 0.789

Properties
The total energy comes out at -4.582 eV per atom.



[17]
The following is a PBE calculation of a relaxed structure of SmY3Ho2Tm6, from Alexandria.

Cell lengths 6.106, 6.106, 11.681 Å; angles 95.00, 95.00, 119.94 degrees
Element x y z (fractional)
Sm 0.000 0.000 0.000
Y 0.167 0.833 0.500
Y 0.500 0.500 0.500
Y 0.833 0.167 0.500
Ho 0.333 0.667 0.000
Ho 0.667 0.333 0.000
Tm 0.084 0.418 0.249
Tm 0.250 0.250 0.751
Tm 0.418 0.084 0.249
Tm 0.582 0.916 0.751
Tm 0.750 0.750 0.249
Tm 0.916 0.582 0.751

Properties
The total energy comes out at -4.982 eV per atom.



[18]
The following is a PBE calculation of a relaxed structure of ErPbAu, from Alexandria.

Cell lengths 6.802, 6.802, 6.802 Å; angles 90.00, 90.00, 90.00 degrees
Element x y z (fractional)
Er 0.000 0.000 0.000
Er 0.000 0.500 0.500
Er 0.500 0.000 0.500
Er 0.500 0.500 0.000
Pb 0.000 0.000 0.500
Pb 0.000 0.500 0.000
Pb 0.500 0.000 0.000
Pb 0.500 0.500 0.500
Au 0.250 0.250 0.750
Au 0.250 0.750 0.250
Au 0.750 0.250 0.250
Au 0.750 0.750 0.750

Properties
The total energy comes out at -4.505 eV per atom.



[19]
The following is a PBE calculation of a relaxed structure of Tb5Dy4Hg, from Alexandria.

Cell lengths 3.569, 3.569, 24.042 Å; angles 90.00, 90.00, 90.00 degrees
Element x y z (fractional)
Tb 0.000 0.000 0.000
Tb 0.000 0.000 0.208
Tb 0.000 0.000 0.416
Tb 0.000 0.000 0.584
Tb 0.000 0.000 0.792
Dy 0.500 0.500 0.104
Dy 0.500 0.500 0.311
Dy 0.500 0.500 0.689
Dy 0.500 0.500 0.896
Hg 0.500 0.500 0.500

Properties
The total energy comes out at -4.266 eV per atom.



[20]
The following is a PBE calculation of a relaxed structure of LiZrCd2In, from Alexandria.

Cell lengths 5.297, 5.297, 5.510 Å; angles 90.00, 90.00, 90.00 degrees
Element x y z (fractional)
Li 0.000 0.000 0.000
Zr 0.500 0.500 0.000
Cd 0.000 0.500 0.500
Cd 0.500 0.000 0.500
In 0.500 0.500 0.500

Properties
The total energy comes out at -2.328 eV per atom.